No. 1
# RbSnAu3 PBE optimized geometry
data_RbSnAu3
_cell_length_a 5.3674
_cell_length_b 5.3674
_cell_length_c 5.3674
_cell_angle_alpha 90.00
_cell_angle_beta 90.00
_cell_angle_gamma 90.00
_space_group_name_H-M_alt 'P 1'
_space_group_IT_number 1
_space_group_name_Hall 'P 1'
loop_
_atom_site_label
_atom_site_fract_x
_atom_site_fract_y
_atom_site_fract_z
Au1 0.0000 0.5000 0.0000
Au2 0.0000 0.0000 0.5000
Au3 0.5000 0.0000 0.0000
Sn1 0.0000 0.0000 0.0000
Rb1 0.5000 0.5000 0.5000
# **Symmetry**: No. 221

No. 2
# Rb2Sn4Au3 PBE optimized geometry
data_Rb2Sn4Au3
_cell_length_a 6.7886
_cell_length_b 6.7886
_cell_length_c 7.6597
_cell_angle_alpha 101.29
_cell_angle_beta 101.29
_cell_angle_gamma 123.92
_space_group_name_H-M_alt 'P 1'
_space_group_IT_number 1
_space_group_name_Hall 'P 1'
loop_
_atom_site_label
_atom_site_fract_x
_atom_site_fract_y
_atom_site_fract_z
Rb1 0.6307 0.6307 0.2614
Rb2 0.3693 0.3693 0.7386
Sn1 0.0257 0.6717 0.6975
Sn2 0.6717 0.0257 0.6975
Sn3 0.9743 0.3283 0.3025
Sn4 0.3283 0.9743 0.3025
Au1 0.5000 0.0000 0.0000
Au2 0.0000 0.0000 0.0000
Au3 0.0000 0.5000 0.0000
# **Symmetry**: No. 69

No. 3
# RbSn4Au3 PBE optimized geometry
data_RbSn4Au3
_cell_length_a 4.9019
_cell_length_b 4.9019
_cell_length_c 9.0267
_cell_angle_alpha 90.00
_cell_angle_beta 90.00
_cell_angle_gamma 90.00
_space_group_name_H-M_alt 'P 1'
_space_group_IT_number 1
_space_group_name_Hall 'P 1'
loop_
_atom_site_label
_atom_site_fract_x
_atom_site_fract_y
_atom_site_fract_z
Rb1 0.0000 0.0000 0.5000
Sn1 0.5000 0.0000 0.1789
Sn2 0.0000 0.5000 0.1789
Sn3 0.5000 0.0000 0.8211
Sn4 0.0000 0.5000 0.8211
Au1 0.0000 0.0000 0.0000
Au2 0.5000 0.5000 0.3445
Au3 0.5000 0.5000 0.6555
# **Symmetry**: No. 123

No. 4
# RbSnAu4 PBE optimized geometry
data_RbSnAu4
_cell_length_a 6.9987
_cell_length_b 6.5780
_cell_length_c 7.5413
_cell_angle_alpha 115.86
_cell_angle_beta 83.76
_cell_angle_gamma 90.00
_space_group_name_H-M_alt 'P 1'
_space_group_IT_number 1
_space_group_name_Hall 'P 1'
loop_
_atom_site_label
_atom_site_fract_x
_atom_site_fract_y
_atom_site_fract_z
Rb1 0.8547 0.7774 0.5548
Rb2 0.1453 0.2226 0.4452
Sn1 0.2727 0.5520 0.1039
Sn2 0.7273 0.4480 0.8961
Au1 0.3898 0.7345 0.4691
Au2 0.3913 0.1223 0.8187
Au3 0.0000 0.2134 0.0000
Au4 0.6087 0.3036 0.1813
Au5 0.6102 0.2655 0.5309
Au6 0.6087 0.8777 0.1813
Au7 0.0000 0.7866 0.0000
Au8 0.3913 0.6964 0.8187
# **Symmetry**: No. 12

No. 5
# Rb2SnAu PBE optimized geometry
data_Rb2SnAu
_cell_length_a 4.8997
_cell_length_b 6.7835
_cell_length_c 6.7835
_cell_angle_alpha 60.49
_cell_angle_beta 68.71
_cell_angle_gamma 68.71
_space_group_name_H-M_alt 'P 1'
_space_group_IT_number 1
_space_group_name_Hall 'P 1'
loop_
_atom_site_label
_atom_site_fract_x
_atom_site_fract_y
_atom_site_fract_z
Rb1 0.0632 0.8563 0.0182
Rb2 0.4368 0.4818 0.6437
Sn1 0.2500 0.1601 0.3399
Au1 0.7500 0.0018 0.4982
# **Symmetry**: No. 5

No. 6
# RbSn5Au4 PBE optimized geometry
data_RbSn5Au4
_cell_length_a 7.0929
_cell_length_b 7.7751
_cell_length_c 9.6965
_cell_angle_alpha 90.00
_cell_angle_beta 90.00
_cell_angle_gamma 90.00
_space_group_name_H-M_alt 'P 1'
_space_group_IT_number 1
_space_group_name_Hall 'P 1'
loop_
_atom_site_label
_atom_site_fract_x
_atom_site_fract_y
_atom_site_fract_z
Rb1 0.5064 0.0000 0.0000
Rb2 0.4936 0.5000 0.5000
Sn1 0.7767 0.2259 0.2660
Sn2 0.7767 0.2259 0.7340
Sn3 0.1548 0.0000 0.5000
Sn4 0.7767 0.7741 0.2660
Sn5 0.7767 0.7741 0.7340
Sn6 0.2233 0.7259 0.2340
Sn7 0.2233 0.7259 0.7660
Sn8 0.8452 0.5000 0.0000
Sn9 0.2233 0.2741 0.7660
Sn10 0.2233 0.2741 0.2340
Au1 0.0079 0.1792 0.0000
Au2 0.4801 0.0000 0.3413
Au3 0.4801 0.0000 0.6587
Au4 0.0079 0.8208 0.0000
Au5 0.9921 0.6792 0.5000
Au6 0.5199 0.5000 0.1587
Au7 0.5199 0.5000 0.8413
Au8 0.9921 0.3208 0.5000
# **Symmetry**: No. 59

No. 7
# Rb3Sn5Au6 PBE optimized geometry
data_Rb3Sn5Au6
_cell_length_a 4.7003
_cell_length_b 12.3012
_cell_length_c 14.2525
_cell_angle_alpha 90.00
_cell_angle_beta 90.00
_cell_angle_gamma 90.00
_space_group_name_H-M_alt 'P 1'
_space_group_IT_number 1
_space_group_name_Hall 'P 1'
loop_
_atom_site_label
_atom_site_fract_x
_atom_site_fract_y
_atom_site_fract_z
Rb1 0.0000 0.2559 0.7174
Rb2 0.5000 0.7441 0.2174
Rb3 0.5000 0.7441 0.7826
Rb4 0.0000 0.2378 0.0000
Rb5 0.5000 0.7622 0.5000
Rb6 0.0000 0.2559 0.2826
Sn1 0.0000 0.5445 0.8893
Sn2 0.0000 0.9409 0.6710
Sn3 0.0000 0.7688 0.0000
Sn4 0.5000 0.4555 0.6107
Sn5 0.5000 0.2312 0.5000
Sn6 0.0000 0.5445 0.1107
Sn7 0.5000 0.4555 0.3893
Sn8 0.0000 0.9409 0.3290
Sn9 0.5000 0.0591 0.8290
Sn10 0.5000 0.0591 0.1710
Au1 0.0000 0.9558 0.8746
Au2 0.5000 0.0442 0.6254
Au3 0.5000 0.4623 0.8067
Au4 0.5000 0.4871 0.0000
Au5 0.0000 0.5129 0.5000
Au6 0.0000 0.5377 0.6933
Au7 0.0000 0.5377 0.3067
Au8 0.5000 0.9051 0.0000
Au9 0.0000 0.9558 0.1254
Au10 0.5000 0.4623 0.1933
Au11 0.0000 0.0949 0.5000
Au12 0.5000 0.0442 0.3746
# **Symmetry**: No. 59

No. 8
# RbSnAu PBE optimized geometry
data_RbSnAu
_cell_length_a 3.8523
_cell_length_b 3.8523
_cell_length_c 7.0063
_cell_angle_alpha 105.96
_cell_angle_beta 105.96
_cell_angle_gamma 90.00
_space_group_name_H-M_alt 'P 1'
_space_group_IT_number 1
_space_group_name_Hall 'P 1'
loop_
_atom_site_label
_atom_site_fract_x
_atom_site_fract_y
_atom_site_fract_z
Au1 0.7142 0.7142 0.4284
Sn1 0.2838 0.2838 0.5677
Rb1 0.0020 0.0020 0.0040
# **Symmetry**: No. 107

No. 9
# Rb2Sn3Au6 PBE optimized geometry
data_Rb2Sn3Au6
_cell_length_a 5.1824
_cell_length_b 8.3076
_cell_length_c 8.3076
_cell_angle_alpha 120.00
_cell_angle_beta 90.00
_cell_angle_gamma 90.00
_space_group_name_H-M_alt 'P 1'
_space_group_IT_number 1
_space_group_name_Hall 'P 1'
loop_
_atom_site_label
_atom_site_fract_x
_atom_site_fract_y
_atom_site_fract_z
Rb1 0.0000 0.6667 0.3333
Rb2 0.0000 0.3333 0.6667
Sn1 0.5000 0.3009 0.3009
Sn2 0.5000 0.6991 0.0000
Sn3 0.5000 0.0000 0.6991
Au1 0.5000 0.6326 0.6326
Au2 0.5000 0.0000 0.3674
Au3 0.0000 0.1984 0.1984
Au4 0.0000 0.8016 0.0000
Au5 0.5000 0.3674 0.0000
Au6 0.0000 0.0000 0.8016
# **Symmetry**: No. 189

No. 10
# Rb2Sn12Au7 PBE optimized geometry
data_Rb2Sn12Au7
_cell_length_a 4.6887
_cell_length_b 11.6241
_cell_length_c 11.6241
_cell_angle_alpha 120.00
_cell_angle_beta 90.00
_cell_angle_gamma 90.00
_space_group_name_H-M_alt 'P 1'
_space_group_IT_number 1
_space_group_name_Hall 'P 1'
loop_
_atom_site_label
_atom_site_fract_x
_atom_site_fract_y
_atom_site_fract_z
Rb1 0.5000 0.0000 0.0000
Rb2 0.0000 0.6667 0.3333
Sn1 0.5000 0.8978 0.6054
Sn2 0.5000 0.7076 0.1022
Sn3 0.5000 0.3946 0.2924
Sn4 0.5000 0.2253 0.7787
Sn5 0.5000 0.5534 0.7747
Sn6 0.5000 0.2213 0.4466
Sn7 0.0000 0.0528 0.5335
Sn8 0.0000 0.4807 0.9472
Sn9 0.0000 0.4665 0.5193
Sn10 0.0000 0.7699 0.7454
Sn11 0.0000 0.9755 0.2301
Sn12 0.0000 0.2546 0.0245
Au1 0.0000 0.3333 0.6667
Au2 0.0000 0.0253 0.7693
Au3 0.0000 0.7440 0.9747
Au4 0.0000 0.2307 0.2560
Au5 0.5000 0.6402 0.5783
Au6 0.5000 0.9380 0.3598
Au7 0.5000 0.4217 0.0620
# **Symmetry**: No. 174

No. 11
# RbSnAu3 PBE optimized geometry
data_RbSnAu3
_cell_length_a 5.7400
_cell_length_b 5.7400
_cell_length_c 5.7400
_cell_angle_alpha 90.00
_cell_angle_beta 90.00
_cell_angle_gamma 90.00
_space_group_name_H-M_alt 'P 1'
_space_group_IT_number 1
_space_group_name_Hall 'P 1'
loop_
_atom_site_label
_atom_site_fract_x
_atom_site_fract_y
_atom_site_fract_z
Au1 0.0000 0.5000 0.0000
Au2 0.0000 0.0000 0.5000
Au3 0.5000 0.0000 0.0000
Sn1 0.5000 0.5000 0.5000
Rb1 0.0000 0.0000 0.0000
# **Symmetry**: No. 221

No. 12
# RbSnAu3 PBE optimized geometry
data_RbSnAu3
_cell_length_a 6.8076
_cell_length_b 9.3015
_cell_length_c 9.4069
_cell_angle_alpha 109.57
_cell_angle_beta 90.00
_cell_angle_gamma 90.00
_space_group_name_H-M_alt 'P 1'
_space_group_IT_number 1
_space_group_name_Hall 'P 1'
loop_
_atom_site_label
_atom_site_fract_x
_atom_site_fract_y
_atom_site_fract_z
Rb1 0.4535 0.3738 0.2918
Rb2 0.5465 0.6262 0.7082
Rb3 0.9535 0.6262 0.2082
Rb4 0.0465 0.3738 0.7918
Sn1 0.7310 0.0739 0.8797
Sn2 0.2690 0.9261 0.1203
Sn3 0.2310 0.9261 0.6203
Sn4 0.7690 0.0739 0.3797
Au1 0.1800 0.0858 0.4176
Au2 0.8200 0.9142 0.5824
Au3 0.6800 0.9142 0.0824
Au4 0.3200 0.0858 0.9176
Au5 0.9940 0.1886 0.1110
Au6 0.0060 0.8114 0.8890
Au7 0.4940 0.8114 0.3890
Au8 0.5060 0.1886 0.6110
Au9 0.4611 0.6443 0.0834
Au10 0.5389 0.3557 0.9166
Au11 0.9611 0.3557 0.4166
Au12 0.0389 0.6443 0.5834
# **Symmetry**: No. 14

No. 13
# RbSn2Au PBE optimized geometry
data_RbSn2Au
_cell_length_a 4.8246
_cell_length_b 7.1503
_cell_length_c 9.0039
_cell_angle_alpha 85.87
_cell_angle_beta 74.46
_cell_angle_gamma 74.42
_space_group_name_H-M_alt 'P 1'
_space_group_IT_number 1
_space_group_name_Hall 'P 1'
loop_
_atom_site_label
_atom_site_fract_x
_atom_site_fract_y
_atom_site_fract_z
Rb1 0.9378 0.2500 0.1244
Rb2 0.0622 0.7500 0.8756
Sn1 0.1525 0.6250 0.3079
Sn2 0.5396 0.8750 0.3079
Sn3 0.8475 0.3750 0.6921
Sn4 0.4604 0.1250 0.6921
Au1 0.2920 0.2500 0.4161
Au2 0.7080 0.7500 0.5839
# **Symmetry**: No. 15

No. 14
# Rb2Sn3Au2 PBE optimized geometry
data_Rb2Sn3Au2
_cell_length_a 4.5733
_cell_length_b 7.0674
_cell_length_c 8.9316
_cell_angle_alpha 122.61
_cell_angle_beta 90.00
_cell_angle_gamma 108.88
_space_group_name_H-M_alt 'P 1'
_space_group_IT_number 1
_space_group_name_Hall 'P 1'
loop_
_atom_site_label
_atom_site_fract_x
_atom_site_fract_y
_atom_site_fract_z
Rb1 0.8592 0.7184 0.2235
Rb2 0.1408 0.2816 0.7765
Sn1 0.5000 0.0000 0.0000
Sn2 0.6432 0.2863 0.4399
Sn3 0.3568 0.7137 0.5601
Au1 0.8717 0.7433 0.7768
Au2 0.1283 0.2567 0.2232
# **Symmetry**: No. 12

No. 15
# Rb2Sn3Au5 PBE optimized geometry
data_Rb2Sn3Au5
_cell_length_a 7.0996
_cell_length_b 9.4951
_cell_length_c 9.4951
_cell_angle_alpha 71.83
_cell_angle_beta 68.05
_cell_angle_gamma 68.05
_space_group_name_H-M_alt 'P 1'
_space_group_IT_number 1
_space_group_name_Hall 'P 1'
loop_
_atom_site_label
_atom_site_fract_x
_atom_site_fract_y
_atom_site_fract_z
Rb1 0.1327 0.6017 0.1330
Rb2 0.6327 0.1330 0.6017
Rb3 0.8673 0.3983 0.8670
Rb4 0.3673 0.8670 0.3983
Sn1 0.3612 0.5405 0.7370
Sn2 0.8612 0.7370 0.5405
Sn3 0.6388 0.4595 0.2630
Sn4 0.1388 0.2630 0.4595
Sn5 0.2500 0.0000 0.0000
Sn6 0.7500 0.0000 0.0000
Au1 0.3949 0.2604 0.9499
Au2 0.8949 0.9499 0.2604
Au3 0.6051 0.7396 0.0501
Au4 0.1051 0.0501 0.7396
Au5 0.4712 0.7788 0.7788
Au6 0.5288 0.2212 0.2212
Au7 0.7500 0.5000 0.5000
Au8 0.2500 0.5000 0.5000
Au9 0.0288 0.2212 0.2212
Au10 0.9712 0.7788 0.7788
# **Symmetry**: No. 72

No. 16
# RbSn4Au2 PBE optimized geometry
data_RbSn4Au2
_cell_length_a 4.6506
_cell_length_b 8.2461
_cell_length_c 20.5140
_cell_angle_alpha 90.00
_cell_angle_beta 90.00
_cell_angle_gamma 90.00
_space_group_name_H-M_alt 'P 1'
_space_group_IT_number 1
_space_group_name_Hall 'P 1'
loop_
_atom_site_label
_atom_site_fract_x
_atom_site_fract_y
_atom_site_fract_z
Rb1 0.7500 0.9863 0.6216
Rb2 0.2500 0.0137 0.3784
Rb3 0.2500 0.4863 0.8784
Rb4 0.7500 0.5137 0.1216
Sn1 0.2500 0.2895 0.6941
Sn2 0.7500 0.7105 0.3059
Sn3 0.7500 0.7895 0.8059
Sn4 0.2500 0.2105 0.1941
Sn5 0.2500 0.6839 0.6932
Sn6 0.7500 0.3161 0.3068
Sn7 0.7500 0.1839 0.8068
Sn8 0.2500 0.8161 0.1932
Sn9 0.2500 0.2440 0.5282
Sn10 0.7500 0.7560 0.4718
Sn11 0.7500 0.7440 0.9718
Sn12 0.2500 0.2560 0.0282
Sn13 0.2500 0.5210 0.4156
Sn14 0.7500 0.4790 0.5844
Sn15 0.7500 0.0210 0.0844
Sn16 0.2500 0.9790 0.9156
Au1 0.2500 0.6717 0.5503
Au2 0.7500 0.3283 0.4497
Au3 0.7500 0.1717 0.9497
Au4 0.2500 0.8283 0.0503
Au5 0.2500 0.9868 0.7709
Au6 0.7500 0.0132 0.2291
Au7 0.7500 0.4868 0.7291
Au8 0.2500 0.5132 0.2709
# **Symmetry**: No. 62

No. 17
# Rb3Sn4Au PBE optimized geometry
data_Rb3Sn4Au
_cell_length_a 6.7066
_cell_length_b 7.1711
_cell_length_c 13.3831
_cell_angle_alpha 90.00
_cell_angle_beta 90.00
_cell_angle_gamma 90.00
_space_group_name_H-M_alt 'P 1'
_space_group_IT_number 1
_space_group_name_Hall 'P 1'
loop_
_atom_site_label
_atom_site_fract_x
_atom_site_fract_y
_atom_site_fract_z
Rb1 0.5541 0.0000 0.0000
Rb2 0.4459 0.5000 0.5000
Rb3 0.8271 0.5000 0.7446
Rb4 0.8271 0.5000 0.2554
Rb5 0.1729 0.0000 0.7554
Rb6 0.1729 0.0000 0.2446
Sn1 0.3304 0.5000 0.8828
Sn2 0.3304 0.5000 0.1172
Sn3 0.0377 0.2787 0.0000
Sn4 0.0377 0.7213 0.0000
Sn5 0.9623 0.7787 0.5000
Sn6 0.9623 0.2213 0.5000
Sn7 0.6696 0.0000 0.3828
Sn8 0.6696 0.0000 0.6172
Au1 0.6841 0.5000 0.0000
Au2 0.3159 0.0000 0.5000
# **Symmetry**: No. 59

No. 18
# Rb3Sn2Au4 PBE optimized geometry
data_Rb3Sn2Au4
_cell_length_a 4.9418
_cell_length_b 7.1581
_cell_length_c 9.5944
_cell_angle_alpha 107.85
_cell_angle_beta 90.00
_cell_angle_gamma 110.19
_space_group_name_H-M_alt 'P 1'
_space_group_IT_number 1
_space_group_name_Hall 'P 1'
loop_
_atom_site_label
_atom_site_fract_x
_atom_site_fract_y
_atom_site_fract_z
Rb1 0.6015 0.2029 0.6879
Rb2 0.0000 0.0000 0.0000
Rb3 0.3985 0.7971 0.3121
Sn1 0.6859 0.3717 0.3220
Sn2 0.3141 0.6283 0.6780
Au1 0.7370 0.4741 0.0664
Au2 0.2630 0.5259 0.9336
Au3 0.8533 0.7066 0.5875
Au4 0.1467 0.2934 0.4125
# **Symmetry**: No. 12

No. 19
# Rb2SnAu PBE optimized geometry
data_Rb2SnAu
_cell_length_a 7.4076
_cell_length_b 6.8858
_cell_length_c 6.8858
_cell_angle_alpha 110.90
_cell_angle_beta 90.00
_cell_angle_gamma 90.00
_space_group_name_H-M_alt 'P 1'
_space_group_IT_number 1
_space_group_name_Hall 'P 1'
loop_
_atom_site_label
_atom_site_fract_x
_atom_site_fract_y
_atom_site_fract_z
Rb1 0.7500 0.9809 0.6479
Rb2 0.2500 0.0191 0.3521
Rb3 0.2500 0.3521 0.0191
Rb4 0.7500 0.6479 0.9809
Sn1 0.7500 0.2497 0.2497
Sn2 0.2500 0.7503 0.7503
Au1 0.0000 0.5000 0.5000
Au2 0.5000 0.5000 0.5000
# **Symmetry**: No. 63

No. 20
# RbSn2Au PBE optimized geometry
data_RbSn2Au
_cell_length_a 4.5930
_cell_length_b 4.5930
_cell_length_c 7.8093
_cell_angle_alpha 72.90
_cell_angle_beta 72.90
_cell_angle_gamma 60.00
_space_group_name_H-M_alt 'P 1'
_space_group_IT_number 1
_space_group_name_Hall 'P 1'
loop_
_atom_site_label
_atom_site_fract_x
_atom_site_fract_y
_atom_site_fract_z
Au1 0.0000 0.0000 0.0000
Sn1 0.2875 0.2875 0.1376
Sn2 0.7125 0.7125 0.8624
Rb1 0.5000 0.5000 0.5000
# **Symmetry**: No. 166

no.,electronic total energy (eV per atom),energy relative to the elements (eV/f.u.)
1,-3.11,-0.73
2,-3.30,-1.89
3,-3.57,-1.71
4,-3.20,-1.11
5,-2.53,-0.92
6,-3.55,-1.37
7,-3.28,-3.40
8,-2.96,-0.64
9,-3.25,-2.16
10,-3.67,-4.16
11,-1.86,5.52
12,-3.15,-0.97
13,-3.23,-0.69
14,-3.17,-1.67
15,-3.29,-2.58
16,-3.55,-1.35
17,-3.11,-2.72
18,-2.94,-2.44
19,-2.54,-0.96
20,-3.35,-1.16